Density functional theory data (PBE) for an optimized crystal structure of Li2ZnPt2.

As for the space group: C2/m, No. 12. The value obtained for the energy above the most stable polymorph in this dataset is 0.000 eV/atom. The calculation puts the total energy at -3.9709 eV per atom. The formation enthalpy at 0 K is -0.534 eV per atom.

Unit cell a=6.626 b=4.266 c=4.266 alpha=59.75 beta=50.31 gamma=50.32
Positions (direct):
Li 0.410 0.394 0.394
Li 0.590 0.606 0.606
Zn 0.000 0.000 0.000
Pt 0.805 0.795 0.795
Pt 0.195 0.205 0.205